DFT (PBE) results for an optimized crystal structure of KFeB3.

Results
The excess energy over the best structure of this formula in the dataset is 0 meV/atom. The size of the total moment comes out at 0.0 μB per formula unit. Its space group is No. 221.

a b c (Å): 3.952 3.952 3.952
angles (deg): 90.00 90.00 90.00
Sites, in units of the cell vectors:
K 0.500 0.500 0.500
B 0.000 0.500 0.000
B 0.000 0.000 0.500
B 0.500 0.000 0.000
Fe 0.000 0.000 0.000

DFT (PBE) results for an optimized crystal structure of YAuSe2.

Results
The size of the total moment comes out at 0.0 μB per formula unit. Its space group is No. 14. The calculation puts the uncorrected formation energy at -1.05 eV per atom.

a b c (Å): 16.339 5.338 7.417
angles (deg): 90.00 141.23 90.00
Sites, in units of the cell vectors:
Y 0.164 0.231 0.830
Y 0.836 0.769 0.170
Y 0.336 0.731 0.670
Y 0.664 0.269 0.330
Au 0.502 0.914 0.311
Au 0.498 0.086 0.689
Au 0.998 0.414 0.189
Au 0.002 0.586 0.811
Se 0.855 0.055 0.880
Se 0.145 0.945 0.120
Se 0.645 0.555 0.620
Se 0.355 0.445 0.380
Se 0.132 0.720 0.603
Se 0.868 0.280 0.397
Se 0.368 0.220 0.897
Se 0.632 0.780 0.103

DFT (PBE) results for an optimized crystal structure of I3BrF.

Results
The excess energy over the best structure of this formula in the dataset is 0 meV/atom. The size of the total moment comes out at 0.4 μB per formula unit. Its space group is No. 221. The calculation puts the uncorrected formation energy at 0.33 eV per atom.

a b c (Å): 5.235 5.235 5.235
angles (deg): 90.00 90.00 90.00
Sites, in units of the cell vectors:
I 0.000 0.500 0.000
I 0.000 0.000 0.500
I 0.500 0.000 0.000
Br 0.500 0.500 0.500
F 0.000 0.000 0.000

Question: Which value of size of the total moment does entry 3 give?
Answer: 0.4 μB per formula unit

Copy entry 2 word for word.
DFT (PBE) results for an optimized crystal structure of YAuSe2.

Results
The size of the total moment comes out at 0.0 μB per formula unit. Its space group is No. 14. The calculation puts the uncorrected formation energy at -1.05 eV per atom.

a b c (Å): 16.339 5.338 7.417
angles (deg): 90.00 141.23 90.00
Sites, in units of the cell vectors:
Y 0.164 0.231 0.830
Y 0.836 0.769 0.170
Y 0.336 0.731 0.670
Y 0.664 0.269 0.330
Au 0.502 0.914 0.311
Au 0.498 0.086 0.689
Au 0.998 0.414 0.189
Au 0.002 0.586 0.811
Se 0.855 0.055 0.880
Se 0.145 0.945 0.120
Se 0.645 0.555 0.620
Se 0.355 0.445 0.380
Se 0.132 0.720 0.603
Se 0.868 0.280 0.397
Se 0.368 0.220 0.897
Se 0.632 0.780 0.103

Question: Which of these has the highest size of the total moment?
Answer: I3BrF

Please write out number 2 again, unchanged.
DFT (PBE) results for an optimized crystal structure of YAuSe2.

Results
The size of the total moment comes out at 0.0 μB per formula unit. Its space group is No. 14. The calculation puts the uncorrected formation energy at -1.05 eV per atom.

a b c (Å): 16.339 5.338 7.417
angles (deg): 90.00 141.23 90.00
Sites, in units of the cell vectors:
Y 0.164 0.231 0.830
Y 0.836 0.769 0.170
Y 0.336 0.731 0.670
Y 0.664 0.269 0.330
Au 0.502 0.914 0.311
Au 0.498 0.086 0.689
Au 0.998 0.414 0.189
Au 0.002 0.586 0.811
Se 0.855 0.055 0.880
Se 0.145 0.945 0.120
Se 0.645 0.555 0.620
Se 0.355 0.445 0.380
Se 0.132 0.720 0.603
Se 0.868 0.280 0.397
Se 0.368 0.220 0.897
Se 0.632 0.780 0.103